The following is a DFT calculation (GGA-PBE) of a relaxed structure of AlGeP3. Values from VASP.

Structure (Quantum ESPRESSO input):
```
&SYSTEM
  ibrav = 0, nat = 5, ntyp = 3
/
ATOMIC_SPECIES
P 30.97 P.upf
Al 26.98 Al.upf
Ge 72.64 Ge.upf
CELL_PARAMETERS angstrom
-4.5758 0.6346 0.5169
0.1836 -2.0648 4.1606
0.7976 4.1160 2.0075
ATOMIC_POSITIONS crystal
P 0.0000 0.5000 0.0000
P 0.5000 0.0000 0.0000
P 0.0000 0.0000 0.5000
Al 0.0000 0.0000 0.0000
Ge 0.5000 0.5000 0.5000
```

Calculated values
Symmetry = No. 221
DFT total energy = -4.194 eV per atom
Total moment = 0.0 μB per formula unit
DFT formation energy = 0.7237 eV per atom
Polymorph energy (0 for the lowest one) = 0.0 meV per atom
Crystal system = cubic

The following is a DFT calculation (GGA-PBE) of a relaxed structure of AlGe2P. Values from VASP.

Structure (Quantum ESPRESSO input):
```
&SYSTEM
  ibrav = 0, nat = 4, ntyp = 3
/
ATOMIC_SPECIES
P 30.97 P.upf
Ge 72.64 Ge.upf
Al 26.98 Al.upf
CELL_PARAMETERS angstrom
3.3969 0.0000 0.0000
1.6985 2.9418 0.0000
1.6985 0.9806 8.3167
ATOMIC_POSITIONS crystal
P 0.5000 0.5000 0.5000
Ge 0.8951 0.8951 0.3148
Ge 0.1049 0.1049 0.6852
Al 0.0000 0.0000 0.0000
```

Calculated values
Symmetry = No. 166
DFT total energy = -4.258 eV per atom
Total moment = 0.0 μB per formula unit
DFT formation energy = 0.3384 eV per atom
Polymorph energy (0 for the lowest one) = 345.0 meV per atom
Crystal system = trigonal

The following is a DFT calculation (GGA-PBE) of a relaxed structure of AlGe2P. Values from VASP.

Structure (Quantum ESPRESSO input):
```
&SYSTEM
  ibrav = 0, nat = 8, ntyp = 3
/
ATOMIC_SPECIES
Ge 72.64 Ge.upf
P 30.97 P.upf
Al 26.98 Al.upf
CELL_PARAMETERS angstrom
5.6991 0.0000 0.0000
0.0000 5.6991 0.0000
2.8496 2.8496 5.6018
ATOMIC_POSITIONS crystal
Ge 0.3750 0.3611 0.7500
Ge 0.6389 0.1250 0.2500
Ge 0.8750 0.8889 0.7500
Ge 0.1111 0.6250 0.2500
P 0.7500 0.2500 0.5000
P 0.0000 0.0000 0.0000
Al 0.5000 0.5000 0.0000
Al 0.2500 0.7500 0.5000
```

Calculated values
Symmetry = No. 122
DFT total energy = -4.603 eV per atom
Total moment = 0.0 μB per formula unit
DFT formation energy = -0.0066 eV per atom
Polymorph energy (0 for the lowest one) = 0.0 meV per atom
Crystal system = tetragonal

The following is a DFT calculation (GGA-PBE) of a relaxed structure of AlGeP2. Values from VASP.

Structure (Quantum ESPRESSO input):
```
&SYSTEM
  ibrav = 0, nat = 4, ntyp = 3
/
ATOMIC_SPECIES
Al 26.98 Al.upf
P 30.97 P.upf
Ge 72.64 Ge.upf
CELL_PARAMETERS angstrom
-3.7827 -0.3248 0.1359
-1.7424 -2.7471 -1.9622
-1.2906 -5.2007 4.7495
ATOMIC_POSITIONS crystal
Al 0.5000 0.5000 0.5000
P 0.8915 0.8915 0.3256
P 0.1085 0.1085 0.6744
Ge 0.0000 0.0000 0.0000
```

Calculated values
Symmetry = No. 166
DFT total energy = -4.579 eV per atom
Total moment = 0.0 μB per formula unit
DFT formation energy = 0.2157 eV per atom
Polymorph energy (0 for the lowest one) = 401.3 meV per atom
Crystal system = trigonal

The following is a DFT calculation (GGA-PBE) of a relaxed structure of AlGeP2. Values from VASP.

Structure (Quantum ESPRESSO input):
```
&SYSTEM
  ibrav = 0, nat = 4, ntyp = 3
/
ATOMIC_SPECIES
P 30.97 P.upf
Al 26.98 Al.upf
Ge 72.64 Ge.upf
CELL_PARAMETERS angstrom
-0.4146 0.8586 -4.2792
3.3376 -0.9244 1.7370
-2.6760 -5.5340 -0.8511
ATOMIC_POSITIONS crystal
P 0.6601 0.3202 0.5362
P 0.1662 0.3324 0.0428
Al 0.0462 0.0924 0.6429
Ge 0.5608 0.1217 0.1371
```

Calculated values
Symmetry = No. 8
DFT total energy = -4.981 eV per atom
Total moment = 0.0 μB per formula unit
DFT formation energy = -0.1856 eV per atom
Polymorph energy (0 for the lowest one) = 0.0 meV per atom
Crystal system = monoclinic

The following is a DFT calculation (GGA-PBE) of a relaxed structure of AlGeP2Ru. Values from VASP.

Structure (Quantum ESPRESSO input):
```
&SYSTEM
  ibrav = 0, nat = 5, ntyp = 4
/
ATOMIC_SPECIES
P 30.97 P.upf
Ge 72.64 Ge.upf
Al 26.98 Al.upf
Ru 101.07 Ru.upf
CELL_PARAMETERS angstrom
-4.5479 0.0593 0.1967
0.1450 -2.2352 4.0267
0.1473 3.9806 2.2043
ATOMIC_POSITIONS crystal
P 0.0000 0.0000 0.5000
P 0.5000 0.0000 0.0000
Ge 0.5000 0.5000 0.5000
Al 0.0000 0.0000 0.0000
Ru 0.0000 0.5000 0.0000
```

Calculated values
Symmetry = No. 123
DFT total energy = -4.693 eV per atom
Total moment = 0.0 μB per formula unit
DFT formation energy = 0.9981 eV per atom
Crystal system = tetragonal